10
Lattice="-3.270 -3.146 1.092 -0.028 -1.507 -4.424 6.819 -9.447 3.176" Properties=species:S:1:pos:R:3 comment="Er3ScAl (PBE-GGA, relaxed)" final_energy_ev_per_atom=-4.875 relative_energy_mev_per_atom=20 e_form_ev_per_atom=-0.122 pbc="T T T"
Er -1.784 -3.825 0.080
Er 4.796 -9.953 2.127
Er 1.520 -6.902 1.108
Er -0.124 -3.041 -2.666
Er 3.185 -12.316 0.473
Er 3.151 -6.092 -1.647
Sc -0.146 -6.117 -1.618
Sc 1.547 -10.023 2.171
Al 3.150 -9.187 -0.593
Al 1.522 -3.808 0.054